# 1
20
Lattice="9.926 0.009 0.014 -2.819 9.518 0.014 -2.819 -3.779 8.735" Properties=species:S:1:pos:R:3 comment="SrLa6OsI12 (PBEsol, optimized geometry)" raw_formation_energy_ev_per_atom=-1.350 pbc="T T T"
La 0.063 -0.929 2.684
La 1.591 4.880 8.546
La 5.196 3.204 7.881
La -0.908 2.543 0.882
La 2.697 0.867 0.218
La 4.225 6.676 6.079
I -1.581 3.824 8.110
I 6.120 0.169 6.739
I 5.869 1.924 0.654
I -0.915 1.855 4.048
I 4.116 7.608 2.840
I 0.172 -1.861 5.923
I 2.039 3.852 1.293
I 3.112 -0.030 3.314
I 5.203 3.893 4.715
I -1.832 5.578 2.025
I 2.249 1.895 7.470
I 1.176 5.777 5.449
Os 0.000 0.000 0.000
Sr 2.144 2.874 4.382

***

# 2
4
Lattice="-0.298 2.675 -2.132 -4.369 -1.916 -1.794 -1.424 2.952 3.904" Properties=species:S:1:pos:R:3 comment="CdIn2P (PBEsol, optimized geometry)" ef_ev_per_atom=0.22 polymorph_energy_ev_per_fu=0.22 pbc="T T T"
Cd -3.046 1.856 -0.011
In -0.712 1.476 1.952
In -2.185 -0.958 -0.897
P -0.149 1.338 -1.066

***

# 3
8
Lattice="5.634 0.000 0.000 0.000 5.634 0.000 -2.817 -2.817 5.545" Properties=species:S:1:pos:R:3 comment="ZnHgS2 (PBEsol, optimized geometry)" raw_formation_energy_ev_per_atom=-0.480 pbc="T T T"
Hg 0.000 0.000 0.000
Hg 0.000 2.817 2.773
S -1.409 -1.219 4.159
S 1.598 4.226 1.386
S 1.409 1.219 4.159
S 4.037 1.409 1.386
Zn 2.817 0.000 2.773
Zn 2.817 2.817 0.000

***

# 4
24
Lattice="6.031 0.000 0.000 3.016 5.256 -0.036 3.016 1.494 12.956" Properties=species:S:1:pos:R:3 comment="Cs2SrP2O7 (PBEsol, optimized geometry)" raw_formation_energy_ev_per_atom=-2.535 pbc="T T T"
Sr 1.508 2.628 -0.018
Sr 4.523 0.747 6.478
O 4.781 2.726 5.012
O 9.563 4.895 5.545
O 3.532 3.736 0.879
O 5.975 4.972 4.753
O 10.297 6.101 11.472
O 1.765 0.649 1.448
O 2.500 1.856 7.375
O 4.030 4.316 3.212
O 8.531 3.014 12.040
O 8.032 2.435 9.708
O 7.281 4.024 7.908
O 6.088 1.778 8.167
O 6.088 3.091 11.249
O 5.975 3.659 1.671
Cs 7.690 2.472 4.306
Cs 4.372 4.278 8.613
Cs 4.674 0.903 2.153
Cs 7.388 5.847 10.766
P 7.425 2.345 11.230
P 4.638 4.405 1.690
P 7.425 2.524 8.186
P 4.638 4.226 4.734